Run one
First-principles (PBE) data for crystalline TaMoBr2 at its relaxed geometry, as listed in Alexandria via LeMat-Bulk.

Properties
ρ, g/cm3: 9.16

a b c (Å): 3.252 3.252 9.175
angles (deg): 90.00 90.00 125.38
Fractional coordinates of all 4 atoms:
1 Ta 0.000 0.000 0.000
2 Mo 0.000 0.000 0.500
3 Br 0.500 0.500 0.253
4 Br 0.500 0.500 0.747


Run two
First-principles (PBE) data for crystalline TaMoBr2 at its relaxed geometry, as listed in Alexandria via LeMat-Bulk.

Properties
ρ, g/cm3: 9.20

a b c (Å): 4.813 4.813 4.813
angles (deg): 60.00 60.00 60.00
Fractional coordinates of all 4 atoms:
1 Ta 0.000 0.000 0.000
2 Mo 0.750 0.750 0.750
3 Br 0.250 0.250 0.250
4 Br 0.500 0.500 0.500


Which of them is the most stable? Correct choice: run one.


Run one
First-principles (PBE) data for crystalline TaMoBr2 at its relaxed geometry, as listed in Alexandria via LeMat-Bulk.

Properties
ρ, g/cm3: 7.25

a b c (Å): 3.474 3.130 9.203
angles (deg): 90.00 90.34 90.00
Fractional coordinates of all 4 atoms:
1 Ta 0.000 0.000 0.000
2 Mo 0.491 0.500 0.164
3 Br 0.484 0.000 0.385
4 Br 0.997 0.500 0.769


Run two
First-principles (PBE) data for crystalline TaMoBr2 at its relaxed geometry, as listed in Alexandria via LeMat-Bulk.

Properties
ρ, g/cm3: 7.81

a b c (Å): 6.845 6.845 6.845
angles (deg): 152.49 141.05 48.35
Fractional coordinates of all 4 atoms:
1 Ta 0.000 0.000 0.000
2 Mo 0.852 0.352 0.500
3 Br 0.360 0.860 0.500
4 Br 0.619 0.619 0.000


Which of them is the most stable? Correct choice: run one.


Run one
First-principles (PBE) data for crystalline TaMoBr at its relaxed geometry, as listed in Alexandria via LeMat-Bulk.

Properties
ρ, g/cm3: 10.06

a b c (Å): 6.241 6.241 6.241
angles (deg): 150.47 150.47 42.25
Fractional coordinates of all 3 atoms:
1 Ta 0.000 0.000 0.000
2 Mo 0.626 0.626 0.000
3 Br 0.308 0.308 0.000


Run two
First-principles (PBE) data for crystalline TaMoBr at its relaxed geometry, as listed in Alexandria via LeMat-Bulk.

Properties
ρ, g/cm3: 9.86

a b c (Å): 7.243 6.959 3.126
angles (deg): 82.43 72.25 25.33
Fractional coordinates of all 3 atoms:
1 Ta 0.000 0.000 0.000
2 Mo 0.638 0.638 0.362
3 Br 0.332 0.332 0.668


Which of them is the most stable? Correct choice: run two.


Run one
First-principles (PBE) data for crystalline TaMoBr at its relaxed geometry, as listed in Alexandria via LeMat-Bulk.

Properties
ρ, g/cm3: 10.90

a b c (Å): 3.008 3.008 6.934
angles (deg): 90.00 90.00 120.00
Fractional coordinates of all 3 atoms:
1 Ta 0.000 0.000 0.000
2 Mo 0.333 0.667 0.658
3 Br 0.667 0.333 0.305


Run two
First-principles (PBE) data for crystalline TaMoBr at its relaxed geometry, as listed in Alexandria via LeMat-Bulk.

Properties
ρ, g/cm3: 11.05

a b c (Å): 4.888 4.888 4.888
angles (deg): 144.72 126.33 65.87
Fractional coordinates of all 3 atoms:
1 Ta 0.000 0.000 0.000
2 Mo 0.341 0.341 0.000
3 Br 0.673 0.673 0.000


Run three
First-principles (PBE) data for crystalline TaMoBr at its relaxed geometry, as listed in Alexandria via LeMat-Bulk.

Properties
ρ, g/cm3: 9.86

a b c (Å): 4.396 4.396 4.396
angles (deg): 60.00 60.00 60.00
Fractional coordinates of all 3 atoms:
1 Ta 0.000 0.000 0.000
2 Mo 0.750 0.750 0.750
3 Br 0.500 0.500 0.500


Which of them is the most stable? Correct choice: run one.


Run one
First-principles (PBE) data for crystalline Tc2MoBr at its relaxed geometry, as listed in Alexandria via LeMat-Bulk.

Properties
ρ, g/cm3: 9.76

a b c (Å): 5.166 5.166 5.166
angles (deg): 137.05 137.05 62.37
Fractional coordinates of all 4 atoms:
1 Tc 0.000 0.000 0.000
2 Tc 0.750 0.250 0.500
3 Mo 0.500 0.500 0.000
4 Br 0.250 0.750 0.500


Run two
First-principles (PBE) data for crystalline Tc2MoBr at its relaxed geometry, as listed in Alexandria via LeMat-Bulk.

Properties
ρ, g/cm3: 9.90

a b c (Å): 2.970 4.535 4.629
angles (deg): 90.00 90.00 90.00
Fractional coordinates of all 4 atoms:
1 Tc 0.000 0.000 0.000
2 Tc 0.500 0.000 0.500
3 Mo 0.000 0.500 0.500
4 Br 0.500 0.500 0.000


Which of them is the most stable? Correct choice: run two.


Run one
First-principles (PBE) data for crystalline TcMo2Br at its relaxed geometry, as listed in Alexandria via LeMat-Bulk.

Properties
ρ, g/cm3: 9.63

a b c (Å): 3.035 4.538 4.629
angles (deg): 90.00 90.00 90.00
Fractional coordinates of all 4 atoms:
1 Tc 0.000 0.000 0.000
2 Mo 0.000 0.500 0.500
3 Mo 0.500 0.000 0.500
4 Br 0.500 0.500 0.000


Run two
First-principles (PBE) data for crystalline TcMo2Br at its relaxed geometry, as listed in Alexandria via LeMat-Bulk.

Properties
ρ, g/cm3: 9.42

a b c (Å): 3.740 3.740 4.660
angles (deg): 90.00 90.00 90.00
Fractional coordinates of all 4 atoms:
1 Tc 0.000 0.000 0.000
2 Mo 0.000 0.500 0.500
3 Mo 0.500 0.000 0.500
4 Br 0.500 0.500 0.000


Which of them is the most stable? Correct choice: run one.